Below is a geometry-optimized La2PmTaN4 structure, with properties calculated at the PBE level.

Cell: 7.035 7.035 7.035 Å, 121.07 119.16 89.81°
Fractional positions:
La1 0.000 0.000 0.000
La2 0.500 0.000 0.000
La3 0.500 0.000 0.500
La4 0.500 0.500 0.500
Pm1 0.000 0.500 0.500
Pm2 0.500 0.500 0.000
Ta1 0.000 0.000 0.500
Ta2 0.000 0.500 0.000
N1 0.208 0.748 0.460
N2 0.211 0.252 0.960
N3 0.216 0.221 0.505
N4 0.216 0.712 0.995
N5 0.784 0.288 0.005
N6 0.784 0.779 0.495
N7 0.789 0.748 0.040
N8 0.792 0.252 0.540

Values from the calculation:
formation energy from raw total energies	-1272.6	meV per atom